# 1
# PBE Hf2TaNbPd, optimized geometry
# - DOS at the Fermi energy (states/eV per atom) = 1.5874
# - E (eV/atom) = -8.42
# - formation energy (meV per atom) = 980
# - crystal system = tetragonal
data_Hf2TaNbPd
_chemical_formula_sum 'Hf2 Ta1 Nb1 Pd1'
_cell_length_a 4.910
_cell_length_b 4.910
_cell_length_c 4.881
_cell_angle_alpha 90.00
_cell_angle_beta 90.00
_cell_angle_gamma 90.00
_symmetry_space_group_name_H-M 'P 1'
_symmetry_Int_Tables_number 1
_symmetry_space_group_name_Hall 'P 1'
loop_
_atom_site_label
_atom_site_type_symbol
_atom_site_fract_x
_atom_site_fract_y
_atom_site_fract_z
_atom_site_occupancy
Nb1 Nb 0.500 0.500 0.500 1
Hf1 Hf 0.000 0.500 0.000 1
Hf2 Hf 0.500 0.000 0.000 1
Pd1 Pd 0.000 0.000 0.000 1
Ta1 Ta 0.000 0.000 0.500 1


# 2
# PBE TaTc2P, optimized geometry
# - DOS at the Fermi energy (states/eV per atom) = 0.5749
# - E (eV/atom) = -9.81
# - formation energy (meV per atom) = -316
# - crystal system = tetragonal
data_TaTc2P
_chemical_formula_sum 'Ta1 Tc2 P1'
_cell_length_a 3.104
_cell_length_b 3.104
_cell_length_c 6.078
_cell_angle_alpha 90.00
_cell_angle_beta 90.00
_cell_angle_gamma 90.00
_symmetry_space_group_name_H-M 'P 1'
_symmetry_Int_Tables_number 1
_symmetry_space_group_name_Hall 'P 1'
loop_
_atom_site_label
_atom_site_type_symbol
_atom_site_fract_x
_atom_site_fract_y
_atom_site_fract_z
_atom_site_occupancy
Ta1 Ta 0.500 0.500 0.500 1
Tc1 Tc 0.000 0.000 0.767 1
Tc2 Tc 0.000 0.000 0.233 1
P1 P 0.500 0.500 0.000 1


# 3
# PBE KFeCo, optimized geometry
# - DOS at the Fermi energy (states/eV per atom) = 1.6258
# - E (eV/atom) = -3.96
# - formation energy (meV per atom) = 1597
# - excess energy over the best structure of this formula in the dataset (meV per atom) = 1179
# - crystal system = hexagonal
data_KFeCo
_chemical_formula_sum 'K2 Fe2 Co2'
_cell_length_a 5.682
_cell_length_b 5.682
_cell_length_c 8.652
_cell_angle_alpha 90.00
_cell_angle_beta 90.00
_cell_angle_gamma 120.00
_symmetry_space_group_name_H-M 'P 1'
_symmetry_Int_Tables_number 1
_symmetry_space_group_name_Hall 'P 1'
loop_
_atom_site_label
_atom_site_type_symbol
_atom_site_fract_x
_atom_site_fract_y
_atom_site_fract_z
_atom_site_occupancy
K1 K 0.333 0.667 0.250 1
K2 K 0.667 0.333 0.750 1
Co1 Co 0.000 0.000 0.000 1
Co2 Co 0.000 0.000 0.500 1
Fe1 Fe 0.000 0.000 0.250 1
Fe2 Fe 0.000 0.000 0.750 1


# 4
# PBE Tb2SbPb, optimized geometry
# - uncorrected formation energy (eV per formula unit) = -2.478
# - DOS at the Fermi energy (states/eV per atom) = 0.8605
# - E (eV/atom) = -4.89
# - excess energy over the best structure of this formula in the dataset (meV per atom) = 205
# - crystal system = tetragonal
data_Tb2SbPb
_chemical_formula_sum 'Tb2 Sb1 Pb1'
_cell_length_a 3.832
_cell_length_b 3.832
_cell_length_c 7.719
_cell_angle_alpha 90.00
_cell_angle_beta 90.00
_cell_angle_gamma 90.00
_symmetry_space_group_name_H-M 'P 1'
_symmetry_Int_Tables_number 1
_symmetry_space_group_name_Hall 'P 1'
loop_
_atom_site_label
_atom_site_type_symbol
_atom_site_fract_x
_atom_site_fract_y
_atom_site_fract_z
_atom_site_occupancy
Pb1 Pb 0.500 0.500 0.500 1
Sb1 Sb 0.500 0.500 0.000 1
Tb1 Tb 0.000 0.000 0.770 1
Tb2 Tb 0.000 0.000 0.230 1


# 5
# PBE B2C, optimized geometry
# - DOS at the Fermi energy (states/eV per atom) = 0.0586
# - E (eV/atom) = -7.18
# - formation energy (meV per atom) = 348
# - excess energy over the best structure of this formula in the dataset (meV per atom) = 163
# - crystal system = monoclinic
data_B2C
_chemical_formula_sum 'B8 C4'
_cell_length_a 4.244
_cell_length_b 4.244
_cell_length_c 9.118
_cell_angle_alpha 53.75
_cell_angle_beta 53.75
_cell_angle_gamma 37.89
_symmetry_space_group_name_H-M 'P 1'
_symmetry_Int_Tables_number 1
_symmetry_space_group_name_Hall 'P 1'
loop_
_atom_site_label
_atom_site_type_symbol
_atom_site_fract_x
_atom_site_fract_y
_atom_site_fract_z
_atom_site_occupancy
B1 B 0.650 0.650 0.100 1
B2 B 0.788 0.788 0.219 1
B3 B 0.912 0.912 0.982 1
B4 B 0.088 0.088 0.018 1
B5 B 0.212 0.212 0.781 1
B6 B 0.350 0.350 0.900 1
B7 B 0.943 0.943 0.433 1
B8 B 0.057 0.057 0.567 1
C1 C 0.560 0.560 0.659 1
C2 C 0.755 0.755 0.669 1
C3 C 0.245 0.245 0.331 1
C4 C 0.440 0.440 0.341 1


The lowest DOS at the Fermi energy belongs to which entry? B2C


Among the records above, which one has the lowest DOS at the Fermi energy? B2C


What is the DOS at the Fermi energy in the fourth record? 0.8605 states/eV per atom


The highest DOS at the Fermi energy belongs to which entry? KFeCo